[1]
Here is a relaxed structure of KDyMnBr6 from the Alexandria database. Energies are from PBE.

Results
Crystal system: trigonal
Uncorrected formation energy, meV/atom: -1225
Symmetry: P-31c, No. 163

Lattice parameters (Å, degrees): 6.879 6.879 14.945 90.00 90.00 120.00
Site moments in Bohr magnetons follow the coordinates.
Element x y z (fractional)
Br: 0.650 0.030 0.352  -0.01
Br: 0.381 0.350 0.352  -0.01
Br: 0.350 0.381 0.852  -0.01
Br: 0.619 0.650 0.648  -0.01
Br: 0.970 0.350 0.148  -0.01
Br: 0.650 0.619 0.148  -0.01
Br: 0.619 0.970 0.852  -0.01
Br: 0.030 0.381 0.648  -0.01
Br: 0.381 0.030 0.148  -0.01
Br: 0.350 0.970 0.648  -0.01
Br: 0.030 0.650 0.852  -0.01
Br: 0.970 0.619 0.352  -0.01
Dy: 0.667 0.333 0.750  -0.01
Dy: 0.333 0.667 0.250  -0.01
K: 0.000 0.000 0.500  0.00
K: 0.000 0.000 0.000  0.00
Mn: 0.333 0.667 0.750  0.88
Mn: 0.667 0.333 0.250  0.88

***

[2]
Here is a relaxed structure of KDyPuBr6 from the Alexandria database. Energies are from PBE.

Results
Crystal system: trigonal
Uncorrected formation energy, meV/atom: -1708
Symmetry: P-31c, No. 163

Lattice parameters (Å, degrees): 7.484 7.484 14.578 90.00 90.00 120.00
Site moments in Bohr magnetons follow the coordinates.
Element x y z (fractional)
Br: 0.983 0.629 0.363  -0.01
Br: 0.983 0.354 0.137  -0.01
Br: 0.371 0.354 0.363  -0.01
Br: 0.646 0.629 0.137  -0.01
Br: 0.629 0.983 0.863  -0.01
Br: 0.371 0.017 0.137  -0.01
Br: 0.646 0.017 0.363  -0.01
Br: 0.354 0.983 0.637  -0.01
Br: 0.017 0.371 0.637  -0.01
Br: 0.017 0.646 0.863  -0.01
Br: 0.629 0.646 0.637  -0.01
Br: 0.354 0.371 0.863  -0.01
Dy: 0.333 0.667 0.750  0.12
Dy: 0.667 0.333 0.250  0.12
K: 0.000 0.000 0.500  0.00
K: 0.000 0.000 0.000  0.00
Pu: 0.333 0.667 0.250  5.70
Pu: 0.667 0.333 0.750  5.70

***

[3]
Here is a relaxed structure of KDySn2Br8 from the Alexandria database. Energies are from PBE.

Results
Crystal system: monoclinic
Uncorrected formation energy, meV/atom: -1279
Symmetry: P2/m, No. 10

Lattice parameters (Å, degrees): 7.209 6.825 9.076 89.97 89.99 88.76
Element x y z (fractional)
K: 0.000 0.000 0.500
Br: 0.319 0.237 0.000
Br: 0.156 0.758 0.221
Br: 0.368 0.273 0.500
Br: 0.844 0.242 0.220
Br: 0.681 0.763 0.000
Br: 0.844 0.242 0.779
Br: 0.156 0.758 0.780
Br: 0.632 0.727 0.500
Sn: 0.500 0.500 0.749
Sn: 0.500 0.500 0.251
Dy: 0.000 0.000 0.000

***

[4]
Here is a relaxed structure of KDySnBr6 from the Alexandria database. Energies are from PBE.

Results
Crystal system: trigonal
Uncorrected formation energy, meV/atom: -1504
Symmetry: P312, No. 149

Lattice parameters (Å, degrees): 7.566 7.566 7.158 90.01 89.99 59.97
Element x y z (fractional)
Br: 0.019 0.356 0.272
Br: 0.356 0.625 0.272
Br: 0.625 0.019 0.272
Br: 0.356 0.019 0.728
Br: 0.018 0.625 0.728
Br: 0.625 0.356 0.728
K: 0.000 0.000 0.000
Dy: 0.333 0.333 0.500
Sn: 0.667 0.667 0.500

***

[5]
Here is a relaxed structure of K2DyTlBr6 from the Alexandria database. Energies are from PBE.

Results
Crystal system: trigonal
Uncorrected formation energy, meV/atom: -1642
Symmetry: R3, No. 146

Lattice parameters (Å, degrees): 8.106 8.106 8.437 61.30 61.27 59.97
Element x y z (fractional)
Tl: 0.813 0.813 0.559
Br: 0.426 0.672 0.780
Br: 0.561 0.210 0.245
Br: 0.122 0.426 0.780
Br: 0.983 0.562 0.245
Br: 0.672 0.122 0.780
Br: 0.210 0.983 0.245
K: 0.019 0.019 0.943
K: 0.530 0.530 0.409
Dy: 0.324 0.324 0.029

***

[6]
Here is a relaxed structure of KDyZnBr6 from the Alexandria database. Energies are from PBE.

Results
Crystal system: trigonal
Uncorrected formation energy, meV/atom: -1488
Symmetry: P-31c, No. 163

Lattice parameters (Å, degrees): 7.089 7.089 14.695 90.00 90.00 120.00
Element x y z (fractional)
Br: 0.637 0.016 0.357
Br: 0.621 0.637 0.643
Br: 0.379 0.363 0.357
Br: 0.016 0.379 0.643
Br: 0.379 0.016 0.143
Br: 0.363 0.984 0.643
Br: 0.637 0.621 0.143
Br: 0.621 0.984 0.857
Br: 0.363 0.379 0.857
Br: 0.016 0.637 0.857
Br: 0.984 0.363 0.143
Br: 0.984 0.621 0.357
K: 0.000 0.000 0.000
K: 0.000 0.000 0.500
Dy: 0.333 0.667 0.250
Dy: 0.667 0.333 0.750
Zn: 0.333 0.667 0.750
Zn: 0.667 0.333 0.250

***

[7]
Here is a relaxed structure of LaDy2Br from the Alexandria database. Energies are from PBE.

Results
Crystal system: trigonal
Uncorrected formation energy, meV/atom: -278
Symmetry: R-3m, No. 166

Lattice parameters (Å, degrees): 3.497 3.497 11.741 81.44 81.44 60.00
Element x y z (fractional)
Br: 0.500 0.500 0.500
La: 0.000 0.000 0.000
Dy: 0.099 0.099 0.704
Dy: 0.901 0.901 0.296

***

[8]
Here is a relaxed structure of LaDyBr6 from the Alexandria database. Energies are from PBE.

Results
Crystal system: trigonal
Uncorrected formation energy, meV/atom: -1884
Symmetry: R-3, No. 148
Polymorph energy (0 for the lowest one), meV per atom: 13

Lattice parameters (Å, degrees): 7.194 7.193 7.801 62.52 62.53 60.00
Element x y z (fractional)
Br: 0.083 0.401 0.756
Br: 0.241 0.916 0.244
Br: 0.759 0.084 0.756
Br: 0.401 0.759 0.756
Br: 0.599 0.241 0.244
Br: 0.917 0.599 0.244
La: 0.500 0.500 0.500
Dy: 0.000 0.000 0.000

***

[9]
Here is a relaxed structure of LaDyBr6 from the Alexandria database. Energies are from PBE.

Results
Crystal system: monoclinic
Uncorrected formation energy, meV/atom: -1897
Symmetry: C2/m, No. 12
Polymorph energy (0 for the lowest one), meV per atom: 0

Lattice parameters (Å, degrees): 7.498 7.498 7.166 97.73 97.73 122.82
Element x y z (fractional)
Dy: 0.500 0.500 0.500
Br: 0.411 0.117 0.260
Br: 0.253 0.253 0.741
Br: 0.883 0.589 0.740
Br: 0.747 0.747 0.259
Br: 0.589 0.883 0.740
Br: 0.117 0.411 0.260
La: 0.000 0.000 0.000

***

[10]
Here is a relaxed structure of La2DyBr2N2 from the Alexandria database. Energies are from PBE.

Results
Crystal system: tetragonal
Uncorrected formation energy, meV/atom: -1482
Symmetry: I4/mmm, No. 139

Lattice parameters (Å, degrees): 4.528 4.528 8.913 104.71 104.71 90.00
Site moments in Bohr magnetons follow the coordinates.
Element x y z (fractional)
Dy: 0.000 0.000 0.000  0.02
Br: 0.822 0.822 0.644  0.01
Br: 0.178 0.178 0.356  0.01
La: 0.591 0.591 0.182  0.32
La: 0.409 0.409 0.818  0.32
N: 0.500 0.000 0.000  -0.02
N: 0.000 0.500 0.000  -0.02

***

[11]
Here is a relaxed structure of LaDyPtBr from the Alexandria database. Energies are from PBE.

Results
Crystal system: trigonal
Uncorrected formation energy, meV/atom: -1280
Symmetry: R3m, No. 160

Lattice parameters (Å, degrees): 4.146 4.146 8.201 90.00 104.64 120.00
Element x y z (fractional)
Dy: 0.101 0.948 0.065
Br: 0.962 0.379 0.356
Pt: 0.311 0.554 0.880
La: 0.503 0.150 0.668

***

[12]
Here is a relaxed structure of LiDy2Br5 from the Alexandria database. Energies are from PBE.

Results
Crystal system: monoclinic
Uncorrected formation energy, meV/atom: -1459
Symmetry: C2/c, No. 15

Lattice parameters (Å, degrees): 10.867 10.867 8.165 118.24 118.24 36.78
Element x y z (fractional)
Br: 0.479 0.336 0.253
Br: 0.119 0.261 0.696
Br: 0.521 0.664 0.747
Br: 0.664 0.521 0.247
Br: 0.261 0.119 0.196
Br: 0.739 0.881 0.804
Br: 0.102 0.898 0.250
Br: 0.898 0.102 0.750
Br: 0.881 0.739 0.304
Br: 0.336 0.479 0.753
Li: 0.000 0.500 0.000
Li: 0.500 0.000 0.500
Dy: 0.185 0.721 0.504
Dy: 0.815 0.279 0.496
Dy: 0.721 0.185 0.004
Dy: 0.279 0.815 0.996

***

[13]
Here is a relaxed structure of LiDyBr6 from the Alexandria database. Energies are from PBE.

Results
Crystal system: cubic
Uncorrected formation energy, meV/atom: -1058
Symmetry: Fm-3m, No. 225

Lattice parameters (Å, degrees): 7.693 7.693 7.693 60.00 60.00 60.00
Element x y z (fractional)
Br: 0.755 0.755 0.245
Br: 0.245 0.755 0.755
Br: 0.245 0.245 0.755
Br: 0.755 0.245 0.755
Br: 0.755 0.245 0.245
Br: 0.245 0.755 0.245
Li: 0.000 0.000 0.000
Dy: 0.500 0.500 0.500

***

[14]
Here is a relaxed structure of Li2DyBr5 from the Alexandria database. Energies are from PBE.

Results
Crystal system: monoclinic
Uncorrected formation energy, meV/atom: -1639
Symmetry: Cm, No. 8

Lattice parameters (Å, degrees): 7.161 7.472 7.472 67.24 64.72 64.72
Element x y z (fractional)
Br: 0.370 0.768 0.768
Br: 0.723 0.909 0.909
Br: 0.633 0.256 0.256
Br: 0.138 0.328 0.788
Br: 0.138 0.788 0.328
Li: 0.504 0.080 0.640
Li: 0.504 0.640 0.080
Dy: 0.991 0.008 0.008

***

[15]
Here is a relaxed structure of Li2DyBr6 from the Alexandria database. Energies are from PBE.

Results
Crystal system: monoclinic
Uncorrected formation energy, meV/atom: -1388
Symmetry: C2/m, No. 12

Lattice parameters (Å, degrees): 4.156 7.060 14.410 51.26 81.71 72.88
Element x y z (fractional)
Br: 0.632 0.743 0.994
Br: 0.175 0.982 0.668
Br: 0.569 0.496 0.366
Br: 0.368 0.257 0.006
Br: 0.431 0.504 0.634
Br: 0.825 0.018 0.332
Dy: 0.000 0.500 0.500
Li: 0.820 0.250 0.109
Li: 0.180 0.750 0.891

***

[16]
Here is a relaxed structure of Li5Dy3Br12 from the Alexandria database. Energies are from PBE.

Results
Crystal system: cubic
Uncorrected formation energy, meV/atom: -1493
Symmetry: Ia-3d, No. 230

Lattice parameters (Å, degrees): 13.945 13.945 13.945 109.47 109.47 109.47
Site moments in Bohr magnetons follow the coordinates.
Element x y z (fractional)
Li: 0.500 0.000 0.000  0.00
Li: 0.500 0.500 0.000  0.00
Li: 0.500 0.500 0.500  0.00
Li: 0.750 0.125 0.875  0.00
Li: 0.750 0.625 0.375  0.00
Li: 0.000 0.500 0.500  0.00
Li: 0.250 0.875 0.125  0.00
Li: 0.875 0.625 0.750  0.00
Li: 0.000 0.000 0.000  0.00
Li: 0.375 0.125 0.750  0.00
Li: 0.000 0.000 0.500  0.00
Li: 0.125 0.750 0.375  0.00
Li: 0.875 0.250 0.625  0.00
Li: 0.250 0.375 0.625  0.00
Li: 0.500 0.000 0.500  0.00
Li: 0.375 0.250 0.125  0.00
Li: 0.125 0.375 0.250  0.00
Li: 0.000 0.500 0.000  0.00
Li: 0.625 0.875 0.250  0.00
Li: 0.625 0.750 0.875  0.00
Br: 0.717 0.126 0.037  0.00
Br: 0.089 0.180 0.463  0.00
Br: 0.463 0.680 0.089  0.00
Br: 0.283 0.874 0.963  0.00
Br: 0.409 0.283 0.320  0.00
Br: 0.963 0.374 0.283  0.00
Br: 0.626 0.589 0.909  0.00
Br: 0.411 0.374 0.591  0.00
Br: 0.820 0.909 0.283  0.00
Br: 0.037 0.626 0.717  0.00
Br: 0.591 0.717 0.680  0.00
Br: 0.680 0.217 0.591  0.00
Br: 0.037 0.411 0.820  0.00
Br: 0.537 0.217 0.126  0.00
Br: 0.089 0.909 0.126  0.00
Br: 0.963 0.589 0.180  0.00
Br: 0.680 0.463 0.589  0.00
Br: 0.909 0.820 0.783  0.00
Br: 0.283 0.409 0.820  0.00
Br: 0.320 0.537 0.411  0.00
Br: 0.126 0.409 0.089  0.00
Br: 0.091 0.911 0.374  0.00
Br: 0.463 0.783 0.874  0.00
Br: 0.374 0.963 0.783  0.00
Br: 0.374 0.411 0.091  0.00
Br: 0.717 0.591 0.180  0.00
Br: 0.320 0.783 0.409  0.00
Br: 0.874 0.591 0.911  0.00
Br: 0.820 0.911 0.037  0.00
Br: 0.783 0.320 0.909  0.00
Br: 0.126 0.717 0.537  0.00
Br: 0.591 0.874 0.411  0.00
Br: 0.874 0.283 0.463  0.00
Br: 0.217 0.537 0.626  0.00
Br: 0.589 0.626 0.409  0.00
Br: 0.180 0.089 0.963  0.00
Br: 0.911 0.091 0.874  0.00
Br: 0.091 0.180 0.217  0.00
Br: 0.409 0.126 0.589  0.00
Br: 0.411 0.037 0.320  0.00
Br: 0.911 0.820 0.537  0.00
Br: 0.783 0.463 0.374  0.00
Br: 0.909 0.089 0.626  0.00
Br: 0.589 0.963 0.680  0.00
Br: 0.537 0.320 0.911  0.00
Br: 0.217 0.680 0.091  0.00
Br: 0.626 0.037 0.217  0.00
Br: 0.180 0.091 0.717  0.00
Dy: 0.625 0.375 0.750  0.15
Dy: 0.250 0.125 0.375  0.15
Dy: 0.750 0.375 0.125  0.15
Dy: 0.625 0.250 0.375  0.15
Dy: 0.375 0.625 0.250  0.15
Dy: 0.875 0.125 0.250  0.15
Dy: 0.875 0.750 0.125  0.15
Dy: 0.125 0.250 0.875  0.15
Dy: 0.750 0.875 0.625  0.15
Dy: 0.375 0.750 0.625  0.15
Dy: 0.125 0.875 0.750  0.15
Dy: 0.250 0.625 0.875  0.15

***

[17]
Here is a relaxed structure of Li3DyBr6 from the Alexandria database. Energies are from PBE.

Results
Crystal system: triclinic
Uncorrected formation energy, meV/atom: -1600
Symmetry: P-1, No. 2

Lattice parameters (Å, degrees): 7.772 7.925 7.926 60.46 59.95 59.95
Element x y z (fractional)
Br: 0.730 0.271 0.769
Br: 0.273 0.228 0.732
Br: 0.261 0.748 0.748
Br: 0.270 0.729 0.231
Br: 0.739 0.252 0.252
Br: 0.727 0.772 0.268
Li: 0.500 0.500 0.000
Li: 0.500 0.000 0.500
Li: 0.500 0.500 0.500
Dy: 0.000 0.000 0.000

***

[18]
Here is a relaxed structure of NaLi2DyBr6 from the Alexandria database. Energies are from PBE.

Results
Crystal system: trigonal
Uncorrected formation energy, meV/atom: -1661
Symmetry: R3, No. 146

Lattice parameters (Å, degrees): 7.092 7.091 7.695 62.56 62.56 60.00
Element x y z (fractional)
Dy: 0.323 0.323 0.031
Br: 0.383 0.737 0.754
Br: 0.127 0.383 0.754
Br: 0.599 0.243 0.245
Br: 0.737 0.127 0.754
Br: 0.243 0.913 0.245
Br: 0.913 0.599 0.245
Li: 0.010 0.010 0.971
Li: 0.514 0.514 0.457
Na: 0.814 0.814 0.559